[1]
Computed, not measured: a geometry-optimized SnPd7Se2 structure at the GGA-PBE level of DFT.

## Properties
Formation energy without anion corrections = -6.36 kcal/mol of atoms
Energy = -5.01 eV per atom

a b c (Å): 4.165 4.165 20.107
angles (deg): 90.00 90.00 90.00
Space group I4/mmm (No. 139)
Symmetry-distinct sites (fractional):
Sn 0.000 0.000 0.000 [2 per cell]
Pd 0.000 0.000 0.500 [2 per cell]
Pd 0.000 0.500 0.096 [8 per cell]
Pd 0.000 0.500 0.250 [4 per cell]
Se 0.000 0.000 0.328 [4 per cell]


[2]
Computed, not measured: a geometry-optimized Tl3Sn3PdSe8 structure at the GGA-PBE level of DFT.

## Properties
Formation energy without anion corrections = -8.06 kcal/mol of atoms
Energy = -3.83 eV per atom

a b c (Å): 13.693 7.918 9.140
angles (deg): 90.00 119.98 90.00
Space group C2/m (No. 12)
Symmetry-distinct sites (fractional):
Tl 0.000 0.000 0.000 [2 per cell]
Tl 0.250 0.250 0.000 [4 per cell]
Sn 0.000 0.500 0.500 [2 per cell]
Sn 0.250 0.250 0.500 [4 per cell]
Pd 0.000 0.000 0.500 [2 per cell]
Se 0.014 0.236 0.307 [8 per cell]
Se 0.221 0.000 0.692 [4 per cell]
Se 0.236 0.500 0.708 [4 per cell]